First-principles (PBE) data for crystalline Hf2PbSe4 at its relaxed geometry, as listed in Alexandria.

Summary:
ΔE_f (raw): -970 meV per atom

Unit cell a=6.5601 b=6.5601 c=13.9590 alpha=90.00 beta=90.00 gamma=145.57
With the nearest neighbours (Å) after each atom.
Sites, in units of the cell vectors:
Hf (0.1330, 0.8670, 0.5612)  6 Se 2.67-2.74
Hf (0.1330, 0.8670, 0.9388)  6 Se 2.67-2.74
Hf (0.8670, 0.1330, 0.0612)  6 Se 2.67-2.74
Hf (0.8670, 0.1330, 0.4388)  6 Se 2.67-2.74
Pb (0.4005, 0.5995, 0.7500)  6 Se 2.92-3.16
Pb (0.5995, 0.4005, 0.2500)  6 Se 2.92-3.16
Se (0.0742, 0.9258, 0.7500)  2 Hf 2.74, 2 Pb 2.92
Se (0.2247, 0.7753, 0.1113)  3 Hf 2.67-2.73
Se (0.2247, 0.7753, 0.3887)  3 Hf 2.67-2.73
Se (0.5000, 0.5000, 0.0000)  4 Hf 2.70
Se (0.5000, 0.5000, 0.5000)  4 Hf 2.70
Se (0.7753, 0.2247, 0.6113)  3 Hf 2.67-2.73
Se (0.7753, 0.2247, 0.8887)  3 Hf 2.67-2.73
Se (0.9258, 0.0742, 0.2500)  2 Hf 2.74, 2 Pb 2.92

***

First-principles (PBE) data for crystalline Cd4PbAu2 at its relaxed geometry, as listed in Alexandria.

Summary:
energy of formation: -101 meV per atom

Unit cell a=8.8307 b=8.8307 c=4.2224 alpha=90.00 beta=90.00 gamma=90.00
With the nearest neighbours (Å) after each atom.
Sites, in units of the cell vectors:
Cd (0.0943, 0.3393, 0.0000)  3 Au 2.83-2.86, 5 Cd 3.06-3.14
Cd (0.1607, 0.5943, 0.5000)  3 Au 2.83-2.86, 5 Cd 3.06-3.14
Cd (0.3393, 0.0943, 0.0000)  3 Au 2.83-2.86, 5 Cd 3.06-3.14
Cd (0.4057, 0.8393, 0.5000)  3 Au 2.83-2.86, 5 Cd 3.06-3.14
Cd (0.5943, 0.1607, 0.5000)  3 Au 2.83-2.86, 5 Cd 3.06-3.14
Cd (0.6607, 0.9057, 0.0000)  3 Au 2.83-2.86, 5 Cd 3.06-3.14
Cd (0.8393, 0.4057, 0.5000)  3 Au 2.83-2.86, 5 Cd 3.06-3.14
Cd (0.9057, 0.6607, 0.0000)  3 Au 2.83-2.86, 5 Cd 3.06-3.14
Pb (0.0000, 0.0000, 0.5000)  4 Au 3.17
Pb (0.5000, 0.5000, 0.0000)  4 Au 3.17
Au (0.1890, 0.8110, 0.0000)  6 Cd 2.83-2.86, 2 Pb 3.17
Au (0.3110, 0.3110, 0.5000)  6 Cd 2.83-2.86, 2 Pb 3.17
Au (0.6890, 0.6890, 0.5000)  6 Cd 2.83-2.86, 2 Pb 3.17
Au (0.8110, 0.1890, 0.0000)  6 Cd 2.83-2.86, 2 Pb 3.17

***

First-principles (PBE) data for crystalline SiAu at its relaxed geometry, as listed in Alexandria.

Summary:
ΔE_f (raw): 40 meV per atom

Unit cell a=4.3958 b=4.3958 c=4.1719 alpha=90.00 beta=90.00 gamma=102.01
With the nearest neighbours (Å) after each atom.
Sites, in units of the cell vectors:
Si (0.1721, 0.8279, 0.0000)  1 Si 2.35, 4 Au 2.56
Si (0.8279, 0.1721, 0.0000)  1 Si 2.35, 4 Au 2.56
Au (0.0000, 0.5000, 0.5000)  4 Si 2.56, 2 Au 2.77
Au (0.5000, 0.0000, 0.5000)  4 Si 2.56, 2 Au 2.77

***

First-principles (PBE) data for crystalline K2Be at its relaxed geometry, as listed in Alexandria.

Summary:
energy of formation: 1130 meV per atom

Unit cell a=7.3655 b=7.3655 c=7.3655 alpha=60.00 beta=60.00 gamma=60.00
With the nearest neighbours (Å) after each atom.
Sites, in units of the cell vectors:
K (0.0000, 0.0000, 0.0000)  6 K 3.68
K (0.0000, 0.0000, 0.5000)  6 K 3.68
K (0.0000, 0.5000, 0.0000)  6 K 3.68
K (0.5000, 0.0000, 0.0000)  6 K 3.68
Be (0.3750, 0.3750, 0.3750)  12 K 4.32, 4 Be 4.51
Be (0.6250, 0.6250, 0.6250)  12 K 4.32, 4 Be 4.51

***

First-principles (PBE) data for crystalline HoBe17Re at its relaxed geometry, as listed in Alexandria.

Summary:
energy of formation: -99 meV per atom

Unit cell a=5.6215 b=5.6215 c=5.6215 alpha=83.04 beta=83.04 gamma=83.04
With the nearest neighbours (Å) after each atom.
Sites, in units of the cell vectors:
Ho (0.0000, 0.0000, 0.0000)  19 Be 2.69-2.86
Be (0.0445, 0.3472, 0.6283)  8 Be 2.10-2.31
Be (0.0445, 0.6283, 0.3472)  8 Be 2.10-2.31
Be (0.1887, 0.6797, 0.6797)  9 Be 2.14-2.31
Be (0.2490, 0.2490, 0.2490)  4 Be 2.11-2.30
Be (0.3403, 0.3403, 0.8410)  10 Be 2.10-2.30
Be (0.3403, 0.8410, 0.3403)  10 Be 2.10-2.30
Be (0.3472, 0.0445, 0.6283)  8 Be 2.10-2.31
Be (0.3472, 0.6283, 0.0445)  8 Be 2.10-2.31
Be (0.4429, 0.4429, 0.4429)  7 Be 2.11-2.26
Be (0.5055, 0.9900, 0.9900)  8 Be 2.15-2.29
Be (0.6283, 0.0445, 0.3472)  8 Be 2.10-2.31
Be (0.6283, 0.3472, 0.0445)  8 Be 2.10-2.31
Be (0.6797, 0.1887, 0.6797)  9 Be 2.14-2.31
Be (0.6797, 0.6797, 0.1887)  9 Be 2.14-2.31
Be (0.8410, 0.3403, 0.3403)  10 Be 2.10-2.30
Be (0.9900, 0.5055, 0.9900)  8 Be 2.15-2.29
Be (0.9900, 0.9900, 0.5055)  8 Be 2.15-2.29
Re (0.6759, 0.6759, 0.6759)  16 Be 2.53-2.83

***

First-principles (PBE) data for crystalline TiNb2H at its relaxed geometry, as listed in Alexandria.

Summary:
uncorrected energy: -31.9 eV/cell

Unit cell a=4.7326 b=4.7326 c=2.8926 alpha=90.59 beta=90.59 gamma=59.73
With the nearest neighbours (Å) after each atom.
Sites, in units of the cell vectors:
Ti (0.0000, 0.0000, 0.0000)  2 H 1.89
Nb (0.3527, 0.3073, 0.6471)  1 H 1.93
Nb (0.6927, 0.6473, 0.3529)  1 H 1.93
H (0.2567, 0.7433, 0.5000)  2 Ti 1.89, 2 Nb 1.93

***

First-principles (PBE) data for crystalline ScRh3 at its relaxed geometry, as listed in Alexandria.

Summary:
energy of formation: -123 meV per atom

Unit cell a=5.2930 b=5.2930 c=4.6960 alpha=90.00 beta=90.00 gamma=90.67
With the nearest neighbours (Å) after each atom.
Sites, in units of the cell vectors:
Sc (0.0926, 0.9074, 0.7500)  3 Rh 2.47-2.69, 2 Sc 2.73
Sc (0.9074, 0.0926, 0.2500)  3 Rh 2.47-2.69, 2 Sc 2.73
Rh (0.0848, 0.5715, 0.2500)  5 Rh 2.56-2.78, 1 Sc 2.69
Rh (0.4203, 0.5797, 0.7500)  1 Sc 2.47, 4 Rh 2.64-2.75
Rh (0.4285, 0.9152, 0.2500)  5 Rh 2.56-2.78, 1 Sc 2.69
Rh (0.5715, 0.0848, 0.7500)  5 Rh 2.56-2.78, 1 Sc 2.69
Rh (0.5797, 0.4203, 0.2500)  1 Sc 2.47, 4 Rh 2.64-2.75
Rh (0.9152, 0.4285, 0.7500)  5 Rh 2.56-2.78, 1 Sc 2.69

***

First-principles (PBE) data for crystalline Gd2ThAg at its relaxed geometry, as listed in Alexandria.

Summary:
energy of formation: 35 meV per atom

Unit cell a=5.6341 b=5.6341 c=3.5608 alpha=90.00 beta=90.00 gamma=90.00
With the nearest neighbours (Å) after each atom.
Sites, in units of the cell vectors:
Gd (0.0000, 0.5000, 0.0000)  4 Th 3.33, 4 Ag 3.33, 2 Gd 3.56
Gd (0.5000, 0.0000, 0.0000)  4 Th 3.33, 4 Ag 3.33, 2 Gd 3.56
Th (0.0000, 0.0000, 0.5000)  8 Gd 3.33, 2 Th 3.56
Ag (0.5000, 0.5000, 0.5000)  8 Gd 3.33, 2 Ag 3.56

***

First-principles (PBE) data for crystalline Ba2ZnCdAu at its relaxed geometry, as listed in Alexandria.

Summary:
energy of formation: -290 meV per atom

Unit cell a=6.3265 b=6.3265 c=4.9469 alpha=90.00 beta=90.00 gamma=90.00
With the nearest neighbours (Å) after each atom.
Sites, in units of the cell vectors:
Ba (0.0000, 0.5000, 0.0000)  2 Au 3.16
Ba (0.5000, 0.0000, 0.0000)  2 Au 3.16
Zn (0.0000, 0.0000, 0.5000)  2 Au 2.47
Cd (0.5000, 0.5000, 0.5000)  8 Ba 4.02, 4 Zn 4.47
Au (0.0000, 0.0000, 0.0000)  2 Zn 2.47

***

First-principles (PBE) data for crystalline V2B4Mo at its relaxed geometry, as listed in Alexandria.

Summary:
energy of formation: 741 meV per atom

Unit cell a=6.1240 b=6.1240 c=6.1240 alpha=142.11 beta=142.11 gamma=54.66
With the nearest neighbours (Å) after each atom.
Sites, in units of the cell vectors:
V (0.1145, 0.1145, 0.0000)  1 B 2.05
V (0.8855, 0.8855, 0.0000)  1 B 2.05
B (0.0000, 0.5000, 0.5000)  2 Mo 1.99
B (0.3029, 0.3029, 0.0000)  1 V 2.05, 1 Mo 2.14
B (0.5000, 0.0000, 0.5000)  2 Mo 1.99
B (0.6971, 0.6971, 0.0000)  1 V 2.05, 1 Mo 2.14
Mo (0.5000, 0.5000, 0.0000)  6 B 1.99-2.14

***

First-principles (PBE) data for crystalline CuTc4O12 at its relaxed geometry, as listed in Alexandria.

Summary:
ΔE_f (raw): -1248 meV per atom

Unit cell a=6.4351 b=6.4351 c=6.4351 alpha=109.71 beta=109.70 gamma=109.00
With the nearest neighbours (Å) after each atom.
Sites, in units of the cell vectors:
Cu (0.0000, 0.0000, 0.0000)  4 O 1.94
Tc (0.0000, 0.0000, 0.5000)  6 O 1.89-1.99
Tc (0.0000, 0.5000, 0.0000)  6 O 1.89-1.99
Tc (0.5000, 0.0000, 0.0000)  6 O 1.89-1.99
Tc (0.5000, 0.5000, 0.5000)  6 O 1.89-1.99
O (0.0476, 0.3019, 0.7457)  2 Tc 1.89
O (0.1848, 0.1847, 0.3695)  1 Cu 1.94, 2 Tc 1.99
O (0.1848, 0.8153, 0.0001)  1 Cu 1.94, 2 Tc 1.99
O (0.3014, 0.0453, 0.7439)  2 Tc 1.89
O (0.3014, 0.5575, 0.2561)  2 Tc 1.89
O (0.4438, 0.6981, 0.7457)  2 Tc 1.89
O (0.5562, 0.3019, 0.2543)  2 Tc 1.89
O (0.6986, 0.4425, 0.7439)  2 Tc 1.89
O (0.6986, 0.9547, 0.2561)  2 Tc 1.89
O (0.8152, 0.1847, 0.9999)  1 Cu 1.94, 2 Tc 1.99
O (0.8152, 0.8153, 0.6305)  1 Cu 1.94, 2 Tc 1.99
O (0.9524, 0.6981, 0.2543)  2 Tc 1.89

***

First-principles (PBE) data for crystalline BeCdAs2 at its relaxed geometry, as listed in Alexandria.

Summary:
energy of formation: 124 meV per atom

Unit cell a=2.9746 b=3.7190 c=7.1607 alpha=90.00 beta=90.00 gamma=90.00
With the nearest neighbours (Å) after each atom.
Sites, in units of the cell vectors:
Be (0.0000, 0.0000, 0.0000)  5 As 2.26-2.49
Cd (0.5000, 0.5000, 0.4683)  5 As 2.63-2.84
As (0.0000, 0.0000, 0.6841)  1 Be 2.26
As (0.5000, 0.5000, 0.1014)  4 Be 2.49, 1 Cd 2.63

***

We obtain DOS at the Fermi energy values of 2.8 3.0 0.4 2.5 5.0 4.4 4.0 5.6 3.2 2.8 7.8 1.2 states/eV/f.u. for the records listed above, in that order.